The following is a DFT calculation (PBE-GGA) of an optimized crystal structure of K5Na3Ta7NbO24.

abc: 8.0440 8.0440 8.0324
angles: 89.96 89.96 89.94
Closest atoms and distances in Å follow each position.
Element x y z (fractional)
K1 0.7512 0.7512 0.2513  12 O 2.80-2.91
K2 0.2517 0.7510 0.2516  12 O 2.81-2.93
K3 0.7510 0.2517 0.2516  12 O 2.81-2.93
K4 0.2518 0.2518 0.2516  12 O 2.80-2.92
K5 0.2516 0.2516 0.7505  12 O 2.80-2.92
Na1 0.7611 0.7611 0.7575  11 O 2.67-2.96
Na2 0.2602 0.7606 0.7567  11 O 2.66-2.95
Na3 0.7606 0.2602 0.7567  11 O 2.66-2.95
Ta1 0.0034 0.0034 0.0013  6 O 1.97-2.06
Ta2 0.0029 0.0029 0.5046  6 O 1.96-2.06
Ta3 0.5046 0.0031 0.0006  6 O 1.96-2.07
Ta4 0.5044 0.0055 0.5044  6 O 1.93-2.07
Ta5 0.0031 0.5046 0.0006  6 O 1.96-2.07
Ta6 0.0055 0.5044 0.5044  6 O 1.93-2.07
Ta7 0.5042 0.5042 0.0038  6 O 1.94-2.07
Nb1 0.5073 0.5073 0.5084  6 O 1.93-2.11
O1 0.9960 0.7479 0.9928  2 Ta 1.96-2.06
O2 0.9952 0.7475 0.5029  2 Ta 1.96-2.06
O3 0.4979 0.7475 0.9931  2 Ta 1.96-2.06
O4 0.4969 0.7479 0.5007  1 Nb 1.94, 1 Ta 2.07
O5 0.9953 0.2475 0.9949  2 Ta 1.97-2.07
O6 0.9950 0.2469 0.5016  2 Ta 1.96-2.07
O7 0.5000 0.2470 0.9939  2 Ta 1.96-2.07
O8 0.4985 0.2454 0.5008  1 Ta 1.93, 1 Nb 2.11
O9 0.7479 0.9960 0.9928  2 Ta 1.96-2.06
O10 0.7475 0.9952 0.5029  2 Ta 1.96-2.06
O11 0.2475 0.9953 0.9949  2 Ta 1.97-2.07
O12 0.2469 0.9950 0.5016  2 Ta 1.96-2.07
O13 0.7475 0.4979 0.9931  2 Ta 1.96-2.06
O14 0.7479 0.4969 0.5007  1 Nb 1.94, 1 Ta 2.07
O15 0.2470 0.5000 0.9939  2 Ta 1.96-2.07
O16 0.2454 0.4985 0.5008  1 Ta 1.93, 1 Nb 2.11
O17 0.9970 0.9970 0.2480  2 Ta 1.98-2.06
O18 0.9955 0.9955 0.7488  2 Ta 1.96-2.03
O19 0.4988 0.9968 0.2475  2 Ta 1.98-2.07
O20 0.4965 0.9924 0.7483  2 Ta 1.96-2.03
O21 0.9968 0.4988 0.2475  2 Ta 1.98-2.07
O22 0.9924 0.4965 0.7483  2 Ta 1.96-2.03
O23 0.4976 0.4976 0.2457  1 Ta 1.94, 1 Nb 2.11
O24 0.4980 0.4980 0.7489  1 Nb 1.93, 1 Ta 2.05

Properties
**E_form (uncorrected)**: -2.62 eV/atom
**Crystal system**: monoclinic
**Raw total energy**: -8.161 eV/atom



The following is a DFT calculation (PBE-GGA) of an optimized crystal structure of KB3Te.

abc: 4.6756 4.6756 4.6756
angles: 90.00 90.00 90.00
Closest atoms and distances in Å follow each position.
Element x y z (fractional)
K1 0.5000 0.5000 0.5000  12 B 3.31
Te1 0.0000 0.0000 0.0000  6 B 2.34
B1 0.0000 0.5000 0.0000  2 Te 2.34
B2 0.0000 0.0000 0.5000  2 Te 2.34
B3 0.5000 0.0000 0.0000  2 Te 2.34

Properties
**E_form (uncorrected)**: 1.98 eV/atom
**Crystal system**: cubic
**Raw total energy**: -2.878 eV/atom
**Excess energy over the best structure of this formula in the dataset**: 0.0 meV per atom



The following is a DFT calculation (PBE-GGA) of an optimized crystal structure of La5ScAg4.

abc: 3.8054 3.8054 19.7427
angles: 90.00 90.00 90.00
Closest atoms and distances in Å follow each position.
Element x y z (fractional)
La1 0.5000 0.5000 0.1095  4 Ag 3.26, 4 Sc 3.45
La2 0.5000 0.5000 0.3038  8 Ag 3.32-3.35
La3 0.5000 0.5000 0.5000  8 Ag 3.31
La4 0.5000 0.5000 0.6962  8 Ag 3.32-3.35
La5 0.5000 0.5000 0.8905  4 Ag 3.26, 4 Sc 3.45
Sc1 0.0000 0.0000 0.0000  8 La 3.45, 4 Sc 3.81
Ag1 0.0000 0.0000 0.2031  8 La 3.26-3.35
Ag2 0.0000 0.0000 0.4027  8 La 3.31-3.32
Ag3 0.0000 0.0000 0.5973  8 La 3.31-3.32
Ag4 0.0000 0.0000 0.7969  8 La 3.26-3.35

Properties
**Crystal system**: tetragonal
**Raw total energy**: -4.427 eV/atom



The following is a DFT calculation (PBE-GGA) of an optimized crystal structure of Ba2InAgO4.

abc: 6.5114 6.5114 6.5114
angles: 77.70 127.34 127.34
Closest atoms and distances in Å follow each position.
Element x y z (fractional)
Ba1 0.5000 0.7500 0.2500  4 O 2.60
Ba2 0.0000 0.0000 0.0000  4 O 2.55
In1 0.5000 0.2500 0.7500  4 O 2.10
Ag1 0.0000 0.5000 0.5000  4 O 2.42
O1 0.5201 0.3620 0.4320  1 In 2.10
O2 0.0700 0.1581 0.6380  1 In 2.10
O3 0.9300 0.5680 0.0881  1 In 2.10
O4 0.4799 0.9119 0.8419  1 In 2.10

Properties
**E_form (uncorrected)**: -1.67 eV/atom
**Crystal system**: tetragonal
**Raw total energy**: -5.324 eV/atom